MgCuSn2Ir (PBE-GGA, optimized geometry); Fermi-level density of states = 2.4 states/eV/cell; E above lowest polymorph = 1.76 eV/f.u.; mass density = 7898 kg/m³; E_tot = -19.4 eV/cell; ΔE_f = 0.6287 eV/atom
1.0
4.8433 0.0000 0.0000
0.0000 4.6384 0.0000
0.0000 0.0000 4.8433
Mg Sn Ir Cu
1 2 1 1
Cartesian
0.0000 2.3192 0.0000 Mg
0.0000 0.0000 2.4216 Sn
2.4216 0.0000 0.0000 Sn
2.4216 2.3192 2.4216 Ir
0.0000 0.0000 0.0000 Cu